A relaxed Sc2Ga2Ag crystal. Source: OQMD via LeMat-Bulk, functional PBE.

Values from the calculation:
The value obtained for the energy above the lowest structure with this stoichiometry is 0 kJ/mol of formula units. For the density, the calculation gives 5.8 g/cm3. For the final energy, the calculation gives -48.3 eV/cell. The volume comes out at 192 Å³ per cell. As for the total magnetic moment: 0.0 μB per cell.

Unit cell a=6.8386 b=6.8386 c=4.1055 alpha=90.00 beta=90.00 gamma=90.00
Fractional coordinates of all 10 atoms:
Ag (0.0000, 0.0000, 0.0000)
Ag (0.5000, 0.5000, 0.0000)
Ga (0.3668, 0.1332, 0.0000)
Ga (0.8668, 0.3668, 0.0000)
Ga (0.1332, 0.6332, 0.0000)
Ga (0.6332, 0.8668, 0.0000)
Sc (0.6673, 0.1673, 0.5000)
Sc (0.1673, 0.3327, 0.5000)
Sc (0.8327, 0.6673, 0.5000)
Sc (0.3327, 0.8327, 0.5000)